Entry 1:
Na6Bi2Sb: relaxed, PBE.

Cell lengths 3.4957, 9.0815, 9.0815 Å; angles 120.00, 90.00, 90.00 degrees
With the nearest neighbours (Å) after each atom.
Element x y z (fractional)
Na (0.5000, 0.3299, 0.3299)  3 Na 3.00-3.09
Na (0.5000, 0.6701, 0.6701)  3 Na 3.00-3.09
Na (0.5000, 0.0000, 0.6701)  3 Na 3.00-3.09
Na (0.5000, 0.6701, 0.0000)  3 Na 3.00-3.09
Na (0.5000, 0.3299, 0.0000)  3 Na 3.00-3.09
Na (0.5000, 0.0000, 0.3299)  3 Na 3.00-3.09
Bi (0.0000, 0.3333, 0.6667)  2 Bi 3.50, 12 Na 3.51
Bi (0.0000, 0.6667, 0.3333)  2 Bi 3.50, 12 Na 3.51
Sb (0.0000, 0.0000, 0.0000)  12 Na 3.47, 2 Sb 3.50

Summary:
* symmetry: P6/mmm, No. 191
* V: 27.74 Å³ per atom
* formation energy from raw total energies: -7.21 kcal/mol of atoms
* E: -2.5123 eV per atom


Entry 2:
NaBi2Sb2: relaxed, PBE.

Cell lengths 8.5628, 8.5628, 4.2645 Å; angles 90.00, 90.00, 90.00 degrees
With the nearest neighbours (Å) after each atom.
Element x y z (fractional)
Sb (0.3478, 0.8478, 0.0000)  6 Bi 3.19-3.37, 2 Na 3.25
Sb (0.8478, 0.6522, 0.0000)  6 Bi 3.19-3.37, 2 Na 3.25
Sb (0.6522, 0.1522, 0.0000)  6 Bi 3.19-3.37, 2 Na 3.25
Sb (0.1522, 0.3478, 0.0000)  6 Bi 3.19-3.37, 2 Na 3.25
Bi (0.1524, 0.6524, 0.5000)  6 Sb 3.19-3.37
Bi (0.6524, 0.8476, 0.5000)  6 Sb 3.19-3.37
Bi (0.8476, 0.3476, 0.5000)  6 Sb 3.19-3.37
Bi (0.3476, 0.1524, 0.5000)  6 Sb 3.19-3.37
Na (0.0000, 0.0000, 0.0000)  4 Sb 3.25
Na (0.5000, 0.5000, 0.0000)  4 Sb 3.25

Summary:
* symmetry: P4/mbm, No. 127
* V: 31.27 Å³ per atom
* formation energy from raw total energies: -0.23 kcal/mol of atoms
* E: -3.4753 eV per atom


Entry 3:
NaBiSb: relaxed, PBE.

Cell lengths 5.2878, 5.2878, 5.2878 Å; angles 60.00, 60.00, 60.00 degrees
With the nearest neighbours (Å) after each atom.
Element x y z (fractional)
Sb (0.2500, 0.2500, 0.2500)  4 Bi 3.24, 4 Na 3.24
Bi (0.0000, 0.0000, 0.0000)  4 Sb 3.24
Na (0.5000, 0.5000, 0.5000)  4 Sb 3.24

Summary:
* symmetry: F-43m, No. 216
* V: 34.85 Å³ per atom
* formation energy from raw total energies: -2.13 kcal/mol of atoms
* E: -3.1997 eV per atom


Entry 4:
Na3BiSb: relaxed, PBE.

Cell lengths 5.8775, 5.8775, 5.8775 Å; angles 90.00, 90.00, 90.00 degrees
With the nearest neighbours (Å) after each atom.
Element x y z (fractional)
Sb (0.0000, 0.0000, 0.0000)  6 Na 2.94
Bi (0.5000, 0.5000, 0.5000)  12 Na 4.16
Na (0.0000, 0.5000, 0.0000)  2 Sb 2.94
Na (0.0000, 0.0000, 0.5000)  2 Sb 2.94
Na (0.5000, 0.0000, 0.0000)  2 Sb 2.94

Summary:
* symmetry: Pm-3m, No. 221
* V: 40.61 Å³ per atom
* formation energy from raw total energies: 2.55 kcal/mol of atoms
* E: -2.2813 eV per atom


Entry 5:
Na6Bi2Sb: relaxed, PBE.

Cell lengths 7.9838, 8.1683, 9.3731 Å; angles 90.00, 84.52, 90.00 degrees
With the nearest neighbours (Å) after each atom.
Element x y z (fractional)
Na (0.7975, 0.9835, 0.2349)  1 Sb 3.09, 2 Bi 3.21-3.23, 1 Na 3.46
Na (0.8626, 0.6475, 0.5787)  3 Bi 3.14-3.31, 1 Sb 3.14, 2 Na 3.45-3.49
Na (0.8580, 0.6678, 0.9467)  1 Sb 3.17, 3 Bi 3.38-3.45, 2 Na 3.45-3.46
Na (0.6420, 0.1678, 0.5533)  1 Sb 3.17, 3 Bi 3.38-3.45, 2 Na 3.45-3.46
Na (0.6374, 0.1475, 0.9213)  3 Bi 3.14-3.31, 1 Sb 3.14, 2 Na 3.45-3.49
Na (0.7025, 0.4835, 0.2651)  1 Sb 3.09, 2 Bi 3.21-3.23, 1 Na 3.46
Na (0.2025, 0.0165, 0.7651)  1 Sb 3.09, 2 Bi 3.21-3.23, 1 Na 3.46
Na (0.1374, 0.3525, 0.4213)  3 Bi 3.14-3.31, 1 Sb 3.14, 2 Na 3.45-3.49
Na (0.1420, 0.3322, 0.0533)  1 Sb 3.17, 3 Bi 3.38-3.45, 2 Na 3.45-3.46
Na (0.3580, 0.8322, 0.4467)  1 Sb 3.17, 3 Bi 3.38-3.45, 2 Na 3.45-3.46
Na (0.3626, 0.8525, 0.0787)  3 Bi 3.14-3.31, 1 Sb 3.14, 2 Na 3.45-3.49
Na (0.2975, 0.5165, 0.7349)  1 Sb 3.09, 2 Bi 3.21-3.23, 1 Na 3.46
Bi (0.9468, 0.3169, 0.7492)  8 Na 3.14-3.45, 1 Sb 3.49
Bi (0.5532, 0.8169, 0.7508)  8 Na 3.14-3.45, 1 Sb 3.49
Bi (0.4468, 0.1831, 0.2492)  8 Na 3.14-3.45, 1 Sb 3.49
Bi (0.0532, 0.6831, 0.2508)  8 Na 3.14-3.45, 1 Sb 3.49
Sb (0.5000, 0.5000, 0.0000)  6 Na 3.09-3.17
Sb (0.0000, 0.0000, 0.5000)  6 Na 3.09-3.17

Summary:
* symmetry: P2_1/c, No. 14
* V: 33.80 Å³ per atom
* formation energy from raw total energies: -5.01 kcal/mol of atoms
* E: -2.4170 eV per atom


Entry 6:
Na2Bi2Sb: relaxed, PBE.

Cell lengths 9.2873, 9.2873, 3.4164 Å; angles 90.00, 90.00, 90.00 degrees
With the nearest neighbours (Å) after each atom.
Element x y z (fractional)
Sb (0.0000, 0.0000, 0.0000)  4 Bi 3.40, 2 Sb 3.42
Sb (0.5000, 0.5000, 0.0000)  4 Bi 3.40, 2 Sb 3.42
Bi (0.3174, 0.8174, 0.0000)  6 Na 3.12-3.33, 2 Sb 3.40, 2 Bi 3.42
Bi (0.8174, 0.6826, 0.0000)  6 Na 3.12-3.33, 2 Sb 3.40, 2 Bi 3.42
Bi (0.6826, 0.1826, 0.0000)  6 Na 3.12-3.33, 2 Sb 3.40, 2 Bi 3.42
Bi (0.1826, 0.3174, 0.0000)  6 Na 3.12-3.33, 2 Sb 3.40, 2 Bi 3.42
Na (0.1186, 0.6186, 0.5000)  3 Na 3.11-3.42, 6 Bi 3.12-3.33
Na (0.6186, 0.8814, 0.5000)  3 Na 3.11-3.42, 6 Bi 3.12-3.33
Na (0.8814, 0.3814, 0.5000)  3 Na 3.11-3.42, 6 Bi 3.12-3.33
Na (0.3814, 0.1186, 0.5000)  3 Na 3.11-3.42, 6 Bi 3.12-3.33

Summary:
* symmetry: P4/mbm, No. 127
* V: 29.47 Å³ per atom
* formation energy from raw total energies: -2.84 kcal/mol of atoms
* E: -3.0278 eV per atom